1.
{"formula": "ScCuSi4", "functional": "SCAN", "state": "PBEsol geometry", "crystal_system": "cubic", "e_form_raw_mev_per_atom": 63, "dos_at_fermi_per_ev_atom": 0.290, "space_group": "F-43m", "lattice_angstrom": [[4.967, 0.000, 0.000], [2.484, 4.302, 0.000], [2.484, 1.434, 4.056]], "species": ["Si", "Si", "Si", "Si", "Cu", "Sc"], "frac_coords": [[0.376, 0.376, 0.376], [0.376, 0.871, 0.376], [0.871, 0.376, 0.376], [0.376, 0.376, 0.871], [0.750, 0.750, 0.750], [0.000, 0.000, 0.000]]}

---

2.
{"formula": "K2BaCd", "functional": "SCAN", "state": "PBEsol geometry", "crystal_system": "tetragonal", "ef_ev_per_atom": -0.098, "dos_at_fermi_per_ev_atom": 0.396, "space_group": "P4mm", "lattice_angstrom": [[4.286, 0.000, 0.000], [0.000, 4.286, 0.000], [0.000, 0.000, 10.864]], "species": ["Cd", "K", "K", "Ba"], "frac_coords": [[0.500, 0.500, 0.733], [0.500, 0.500, 0.259], [0.000, 0.000, 0.936], [0.000, 0.000, 0.572]]}

---

3.
{"formula": "SnPCl2", "functional": "SCAN", "state": "PBEsol geometry", "crystal_system": "trigonal", "relative_energy_mev_per_atom": 0.0, "e_form_raw_mev_per_atom": -32, "dos_at_fermi_per_ev_atom": 0.255, "space_group": "R-3m", "lattice_angstrom": [[-0.342, 2.450, -2.099], [-2.397, -0.059, -2.186], [-6.550, 5.205, 4.635]], "species": ["Sn", "P", "Cl", "Cl"], "frac_coords": [[0.500, 0.500, 0.500], [0.000, 0.000, 0.000], [0.919, 0.919, 0.244], [0.081, 0.081, 0.756]]}

---

4.
{"formula": "LaMoSe2", "functional": "SCAN", "state": "PBEsol geometry", "crystal_system": "tetragonal", "relative_energy_mev_per_atom": 261.2, "e_form_raw_mev_per_atom": -568, "dos_at_fermi_per_ev_atom": 0.282, "space_group": "I-4m2", "lattice_angstrom": [[4.081, 0.000, 0.000], [0.000, 4.081, 0.000], [-2.040, -2.040, 5.447]], "species": ["Mo", "Se", "Se", "La"], "frac_coords": [[0.250, 0.750, 0.500], [0.000, 0.000, 0.000], [0.750, 0.250, 0.500], [0.500, 0.500, 0.000]]}